DFT (PBE-GGA) results for a relaxed structure of SrCd2CF.

Properties
- Magnetic moment: 0.0 μB per formula unit

a = 4.8277 Å, b = 4.8277 Å, c = 4.8415 Å
α = 90.00°, β = 90.00°, γ = 90.00°
Fractional positions:
Sr 0.0000 0.0000 0.0000
Cd 0.0000 0.5000 0.5000
Cd 0.5000 0.0000 0.5000
C 0.5000 0.5000 0.0000
F 0.0000 0.0000 0.5000

DFT (PBE-GGA) results for a relaxed structure of Y2CdCF.

Properties
- Magnetic moment: 1.7 μB per formula unit

a = 5.6644 Å, b = 5.6644 Å, c = 3.9454 Å
α = 90.00°, β = 90.00°, γ = 90.00°
Fractional positions:
Y 0.0000 0.5000 0.0000
Y 0.5000 0.0000 0.0000
Cd 0.0000 0.0000 0.0000
C 0.0000 0.0000 0.5000
F 0.5000 0.5000 0.5000

Result set for density of states at the Fermi level: 0.495, 0.658 states/eV per atom, one per record in the order listed.
Result set for formation energy (no corrections): 1.354, 2.976 eV per formula unit, one per record in the order listed.